! Pr2SbAu3 | Alexandria | GGA-PBEsol | relaxed; values from VASP
&SYSTEM
  ibrav = 0, nat = 6, ntyp = 3
/
ATOMIC_SPECIES
Pr 140.91 Pr.upf
Sb 121.76 Sb.upf
Au 196.97 Au.upf
CELL_PARAMETERS angstrom
3.694 0.000 0.000
0.000 4.640 0.000
0.000 0.000 8.270
ATOMIC_POSITIONS angstrom
Pr 0.000 2.320 8.134
Pr 0.000 0.000 4.281
Sb 1.847 2.320 2.753
Au 1.847 0.000 6.914
Au 1.847 0.000 1.351
Au 1.847 2.320 5.512
! Crystal system: orthorhombic
! Energy in eV/atom: -5.256
! Raw formation energy in eV per atom: -0.807
! SG: No. 25